1.
# La2SnRh4

Crystalline La2SnRh4 at its relaxed geometry (PBE, Alexandria).

Symmetry: I4/mmm (139)
Total energy in eV/atom: -6.3530
Formation enthalpy at 0 K in eV/atom: -0.172
Spin magnetization in μB/f.u.: 0.00

Cell: 4.9541 4.9541 13.8306 Å, 90.00 90.00 90.00°
Atoms (fractional coordinates):
La 0.0000 0.0000 0.1437
La 0.0000 0.0000 0.8563
La 0.5000 0.5000 0.3563
La 0.5000 0.5000 0.6437
Sn 0.0000 0.0000 0.5000
Sn 0.5000 0.5000 0.0000
Rh 0.0000 0.0000 0.3135
Rh 0.0000 0.0000 0.6865
Rh 0.0000 0.5000 0.0000
Rh 0.0000 0.5000 0.5000
Rh 0.5000 0.0000 0.0000
Rh 0.5000 0.0000 0.5000
Rh 0.5000 0.5000 0.1865
Rh 0.5000 0.5000 0.8135

=====

2.
# RbAlZn2Te4

Crystalline RbAlZn2Te4 at its relaxed geometry (PBE, Alexandria).

Symmetry: I222 (23)
Total energy in eV/atom: -2.9753
ΔE_f (raw) in eV per atom: -0.497
Spin magnetization in μB/f.u.: 0.00

Cell: 6.9903 8.8519 9.5232 Å, 90.00 90.00 90.00°
Atoms (fractional coordinates):
Rb 0.0000 0.0000 0.0000
Rb 0.5000 0.5000 0.5000
Al 0.0000 0.0000 0.5000
Al 0.5000 0.5000 0.0000
Zn 0.0000 0.5000 0.1581
Zn 0.0000 0.5000 0.8419
Zn 0.5000 0.0000 0.3419
Zn 0.5000 0.0000 0.6581
Te 0.2187 0.1770 0.3424
Te 0.2187 0.8230 0.6576
Te 0.2813 0.3230 0.8424
Te 0.2813 0.6770 0.1576
Te 0.7187 0.3230 0.1576
Te 0.7187 0.6770 0.8424
Te 0.7813 0.1770 0.6576
Te 0.7813 0.8230 0.3424

=====

3.
# La2Nd6DyEr

Crystalline La2Nd6DyEr at its relaxed geometry (PBE, Alexandria).

Symmetry: C2/c (15)
Total energy in eV/atom: -4.6498
Formation enthalpy at 0 K in eV/atom: 0.113
Spin magnetization in μB/f.u.: 0.00

Cell: 8.9195 8.9195 10.1366 Å, 95.37 95.37 117.98°
Atoms (fractional coordinates):
La 0.1916 0.2895 0.0408
La 0.2895 0.1916 0.5408
La 0.7105 0.8084 0.4592
La 0.8084 0.7105 0.9592
Nd 0.0197 0.5832 0.1893
Nd 0.1237 0.7434 0.5565
Nd 0.2566 0.8763 0.9435
Nd 0.2941 0.4964 0.3781
Nd 0.4168 0.9803 0.3107
Nd 0.4964 0.2941 0.8781
Nd 0.5036 0.7059 0.1219
Nd 0.5832 0.0197 0.6893
Nd 0.7059 0.5036 0.6219
Nd 0.7434 0.1237 0.0565
Nd 0.8763 0.2566 0.4435
Nd 0.9803 0.4168 0.8107
Dy 0.4046 0.5954 0.7500
Dy 0.5954 0.4046 0.2500
Er 0.0123 0.9877 0.2500
Er 0.9877 0.0123 0.7500

=====

4.
# CuAsN3

Crystalline CuAsN3 at its relaxed geometry (PBE, Alexandria).

Symmetry: Pm-3m (221)
Total energy in eV/atom: -4.6797
ΔE_f (raw) in eV per atom: 2.065
Spin magnetization in μB/f.u.: 0.00

Cell: 3.7596 3.7596 3.7596 Å, 90.00 90.00 90.00°
Atoms (fractional coordinates):
Cu 0.0000 0.0000 0.0000
As 0.5000 0.5000 0.5000
N 0.0000 0.0000 0.5000
N 0.0000 0.5000 0.0000
N 0.5000 0.0000 0.0000

=====

5.
# Sr4LiY3Se8

Crystalline Sr4LiY3Se8 at its relaxed geometry (PBE, Alexandria).

Symmetry: R-3m (166)
Total energy in eV/atom: -5.3746
ΔE_f (raw) in eV per atom: -1.880
Spin magnetization in μB/f.u.: 0.00

Cell: 8.5289 8.5289 8.5289 Å, 59.48 59.48 59.48°
Atoms (fractional coordinates):
Sr 0.0000 0.0000 0.0000
Sr 0.0000 0.5000 0.5000
Sr 0.5000 0.0000 0.5000
Sr 0.5000 0.5000 0.0000
Li 0.5000 0.5000 0.5000
Y 0.0000 0.0000 0.5000
Y 0.0000 0.5000 0.0000
Y 0.5000 0.0000 0.0000
Se 0.2423 0.7427 0.7427
Se 0.2436 0.2436 0.2436
Se 0.2573 0.2573 0.7577
Se 0.2573 0.7577 0.2573
Se 0.7427 0.2423 0.7427
Se 0.7427 0.7427 0.2423
Se 0.7564 0.7564 0.7564
Se 0.7577 0.2573 0.2573

=====

6.
# ZrTlIN2

Crystalline ZrTlIN2 at its relaxed geometry (PBE, Alexandria).

Energy above the most stable polymorph in this dataset in meV per atom: 0
Symmetry: P4/mmm (123)
Total energy in eV/atom: -5.5567
ΔE_f (raw) in eV per atom: 0.266
Spin magnetization in μB/f.u.: 1.09

Cell: 4.3791 4.3791 6.0934 Å, 90.00 90.00 90.00°
Atoms (fractional coordinates):
Zr 0.0000 0.0000 0.0000
Tl 0.5000 0.5000 0.5000
I 0.0000 0.0000 0.5000
N 0.0000 0.5000 0.0000
N 0.5000 0.0000 0.0000

=====

7.
# Zr2MnP

Crystalline Zr2MnP at its relaxed geometry (PBE, Alexandria).

Symmetry: R-3m (166)
Total energy in eV/atom: -8.3194
Formation enthalpy at 0 K in eV/atom: -0.401
Spin magnetization in μB/f.u.: 2.08

Cell: 3.5136 3.5136 21.3225 Å, 90.00 90.00 120.00°
Atoms (fractional coordinates):
Zr 0.0000 0.0000 0.2423
Zr 0.0000 0.0000 0.7577
Zr 0.3333 0.6667 0.4244
Zr 0.3333 0.6667 0.9089
Zr 0.6667 0.3333 0.0911
Zr 0.6667 0.3333 0.5756
Mn 0.0000 0.0000 0.0000
Mn 0.3333 0.6667 0.6667
Mn 0.6667 0.3333 0.3333
P 0.0000 0.0000 0.5000
P 0.3333 0.6667 0.1667
P 0.6667 0.3333 0.8333

=====

8.
# PuGaRe

Crystalline PuGaRe at its relaxed geometry (PBE, Alexandria).

Energy above the most stable polymorph in this dataset in meV per atom: 196
Symmetry: Cmcm (63)
Total energy in eV/atom: -9.8864
Formation enthalpy at 0 K in eV/atom: 0.049
Spin magnetization in μB/f.u.: 5.03

Cell: 2.8360 19.8341 4.1846 Å, 90.00 90.00 90.00°
Atoms (fractional coordinates):
Pu 0.0000 0.1240 0.2500
Pu 0.0000 0.8760 0.7500
Pu 0.5000 0.3760 0.7500
Pu 0.5000 0.6240 0.2500
Ga 0.0000 0.4630 0.2500
Ga 0.0000 0.5370 0.7500
Ga 0.5000 0.0370 0.7500
Ga 0.5000 0.9630 0.2500
Re 0.0000 0.2696 0.2500
Re 0.0000 0.7304 0.7500
Re 0.5000 0.2304 0.7500
Re 0.5000 0.7696 0.2500

=====

9.
# Sm12CuPd6

Crystalline Sm12CuPd6 at its relaxed geometry (PBE, Alexandria).

Symmetry: R-3 (148)
Total energy in eV/atom: -5.2337
Formation enthalpy at 0 K in eV/atom: -0.398
Spin magnetization in μB/f.u.: 0.00

Cell: 8.4152 8.4152 8.4152 Å, 99.65 99.65 99.65°
Atoms (fractional coordinates):
Sm 0.0501 0.9243 0.6788
Sm 0.0757 0.3212 0.9499
Sm 0.1790 0.5767 0.4169
Sm 0.3212 0.9499 0.0757
Sm 0.4169 0.1790 0.5767
Sm 0.4233 0.5831 0.8210
Sm 0.5767 0.4169 0.1790
Sm 0.5831 0.8210 0.4233
Sm 0.6788 0.0501 0.9243
Sm 0.8210 0.4233 0.5831
Sm 0.9243 0.6788 0.0501
Sm 0.9499 0.0757 0.3212
Cu 0.0000 0.0000 0.0000
Pd 0.1329 0.3103 0.6184
Pd 0.3103 0.6184 0.1329
Pd 0.3816 0.8671 0.6897
Pd 0.6184 0.1329 0.3103
Pd 0.6897 0.3816 0.8671
Pd 0.8671 0.6897 0.3816

=====

10.
# KTbCl4

Crystalline KTbCl4 at its relaxed geometry (PBE, Alexandria).

Energy above the most stable polymorph in this dataset in meV per atom: 10
Symmetry: C2/c (15)
Total energy in eV/atom: -4.3579
ΔE_f (raw) in eV per atom: -2.172
Spin magnetization in μB/f.u.: 0.00

Cell: 8.8041 8.8041 7.4804 Å, 97.54 97.54 45.25°
Atoms (fractional coordinates):
K 0.2320 0.7680 0.7500
K 0.7680 0.2320 0.2500
Tb 0.0000 0.5000 0.0000
Tb 0.5000 0.0000 0.5000
Cl 0.0402 0.7682 0.0732
Cl 0.2229 0.3703 0.7049
Cl 0.2318 0.9598 0.4268
Cl 0.3703 0.2229 0.2049
Cl 0.6297 0.7771 0.7951
Cl 0.7682 0.0402 0.5732
Cl 0.7771 0.6297 0.2951
Cl 0.9598 0.2318 0.9268

=====

11.
# SiGeAsBr2

Crystalline SiGeAsBr2 at its relaxed geometry (PBE, Alexandria).

Energy above the most stable polymorph in this dataset in meV per atom: 0
Symmetry: P4/mmm (123)
Total energy in eV/atom: -3.1957
ΔE_f (raw) in eV per atom: 0.411
Spin magnetization in μB/f.u.: 0.00

Cell: 4.9696 4.9696 5.1664 Å, 90.00 90.00 90.00°
Atoms (fractional coordinates):
Si 0.0000 0.0000 0.0000
Ge 0.5000 0.5000 0.5000
As 0.0000 0.0000 0.5000
Br 0.0000 0.5000 0.0000
Br 0.5000 0.0000 0.0000

=====

12.
# ErTm2PuBi4

Crystalline ErTm2PuBi4 at its relaxed geometry (PBE, Alexandria).

Symmetry: P2/m (10)
Total energy in eV/atom: -6.0889
Formation enthalpy at 0 K in eV/atom: -0.669
Spin magnetization in μB/f.u.: 5.18

Cell: 7.7321 4.4669 7.7343 Å, 90.00 109.41 90.00°
Atoms (fractional coordinates):
Er 0.0000 0.0000 0.0000
Tm 0.5000 0.0000 0.5000
Tm 0.5000 0.5000 0.0000
Pu 0.0000 0.5000 0.5000
Bi 0.2530 0.5000 0.2485
Bi 0.2549 0.0000 0.7541
Bi 0.7451 0.0000 0.2459
Bi 0.7470 0.5000 0.7515